Here is crystalline SrLi10Ag3 at its relaxed geometry from Alexandria. Energies are from PBE.

a b c (Å): 13.6161 13.6161 13.6161
angles (deg): 90.00 90.00 90.00
Closest atoms and distances in Å follow each position.
Space group Fm-3m (No. 225)
Inequivalent atoms, fractional coordinates:
Sr  0.2500  0.2500  0.2500 x8  16 Li 3.33-3.72
Li  0.0000  0.1721  0.1721 x48  2 Ag 2.67
Li  0.1087  0.1087  0.3913 x32  3 Ag 2.70, 3 Li 2.96
Ag  0.0000  0.0000  0.2658 x24  8 Li 2.67-2.70

Calculated values
* VASP energy: -238.2 eV per cell


Here is crystalline NaLaTi2In at its relaxed geometry from Alexandria. Energies are from PBE.

a b c (Å): 4.9891 4.9891 5.3626
angles (deg): 90.00 90.00 90.00
Closest atoms and distances in Å follow each position.
Space group P4/mmm (No. 123)
Inequivalent atoms, fractional coordinates:
Na  0.0000  0.0000  0.0000 x1  4 Ti 2.49, 2 La 2.68
La  0.0000  0.0000  0.5000 x1  2 Na 2.68
Ti  0.0000  0.5000  0.0000 x2  2 Na 2.49
In  0.5000  0.5000  0.5000 x1  4 La 3.53, 8 Ti 3.66

Calculated values
* VASP energy: -18.8 eV per cell